Record 1
A relaxed TmScSiAg crystal, computed with PBE.

Computed properties:
V = 82 Å³ per cell
Space-group type = F-43m
Formation energy (no corrections) = -0.430 eV/atom
Spin magnetization = 0.43 μB per cell
Crystal system = cubic

Unit cell a=4.867 b=4.867 c=4.867 alpha=60.00 beta=60.00 gamma=60.00
Positions (direct):
Sc: 0.500 0.500 0.500
Si: 0.750 0.750 0.750
Tm: 0.000 0.000 0.000
Ag: 0.250 0.250 0.250

=====

Record 2
A relaxed ScSi2AgW crystal, computed with PBE.

Computed properties:
V = 111 Å³ per cell
Space-group type = P4/mmm
Formation energy (no corrections) = 1.697 eV/atom
Spin magnetization = 2.64 μB per cell
Crystal system = tetragonal

Unit cell a=4.789 b=4.847 c=4.789 alpha=90.00 beta=90.00 gamma=90.00
Positions (direct):
Sc: 0.000 0.000 0.000
Si: 0.000 0.000 0.500
Si: 0.500 0.000 0.000
Ag: 0.000 0.500 0.000
W: 0.500 0.500 0.500

=====

Record 3
A relaxed YScSiAg crystal, computed with PBE.

Computed properties:
V = 84 Å³ per cell
Space-group type = F-43m
Formation energy (no corrections) = -0.437 eV/atom
Spin magnetization = 0.42 μB per cell
Crystal system = cubic

Unit cell a=4.910 b=4.910 c=4.910 alpha=60.00 beta=60.00 gamma=60.00
Positions (direct):
Y: 0.500 0.500 0.500
Sc: 0.000 0.000 0.000
Si: 0.750 0.750 0.750
Ag: 0.250 0.250 0.250

=====

Record 4
A relaxed SmSc3Ag4 crystal, computed with PBE.

Computed properties:
V = 346 Å³ per cell
ΔE_f = -2.0 eV per formula unit
Space-group type = Pmma
Spin magnetization = 0.00 μB per cell
Crystal system = orthorhombic

Unit cell a=4.958 b=7.039 c=9.909 alpha=90.00 beta=90.00 gamma=90.00
Positions (direct):
Sc: 0.000 0.000 0.000
Sc: 0.000 0.000 0.500
Sc: 0.501 0.000 0.750
Sc: 0.499 0.000 0.250
Sc: 0.501 0.500 0.750
Sc: 0.499 0.500 0.250
Ag: 0.500 0.769 0.000
Ag: 0.500 0.769 0.500
Ag: 0.500 0.231 0.000
Ag: 0.500 0.231 0.500
Ag: 0.001 0.769 0.750
Ag: 0.999 0.769 0.250
Ag: 0.999 0.231 0.250
Ag: 0.001 0.231 0.750
Sm: 0.000 0.500 0.000
Sm: 0.000 0.500 0.500

=====

Record 5
A relaxed Sm4ScAg crystal, computed with PBE.

Computed properties:
V = 177 Å³ per cell
ΔE_f = -0.3 eV per formula unit
Energy relative to the lowest polymorph listed for this composition = 0 meV per atom
Space-group type = P4/mmm
Spin magnetization = 0.00 μB per cell
Crystal system = tetragonal

Unit cell a=3.590 b=3.590 c=13.751 alpha=90.00 beta=90.00 gamma=90.00
Positions (direct):
Sm: 0.500 0.500 0.833
Sm: 0.500 0.500 0.167
Sm: 0.000 0.000 0.644
Sm: 0.000 0.000 0.356
Sc: 0.000 0.000 0.000
Ag: 0.500 0.500 0.500

=====

Record 6
A relaxed Sm3Sc2Ag2 crystal, computed with PBE.

Computed properties:
V = 182 Å³ per cell
ΔE_f = 0.0 eV per formula unit
Space-group type = Cmmm
Spin magnetization = 0.28 μB per cell
Crystal system = orthorhombic

Unit cell a=4.828 b=3.424 c=11.300 alpha=90.00 beta=77.67 gamma=90.00
Positions (direct):
Sm: 0.851 0.000 0.298
Sm: 0.000 0.000 0.000
Sm: 0.149 0.000 0.702
Sc: 0.713 0.500 0.573
Sc: 0.287 0.500 0.427
Ag: 0.574 0.500 0.853
Ag: 0.426 0.500 0.147

=====

Record 7
A relaxed Sm5ScAg6 crystal, computed with PBE.

Computed properties:
V = 297 Å³ per cell
ΔE_f = -3.2 eV per formula unit
Space-group type = P2/m
Spin magnetization = 0.00 μB per cell
Crystal system = monoclinic

Unit cell a=5.203 b=7.278 c=8.267 alpha=90.00 beta=71.31 gamma=90.00
Positions (direct):
Sc: 0.000 0.000 0.000
Sm: 0.669 0.500 0.662
Sm: 0.335 0.000 0.330
Sm: 0.000 0.500 0.000
Sm: 0.665 0.000 0.670
Sm: 0.331 0.500 0.338
Ag: 0.841 0.760 0.319
Ag: 0.841 0.240 0.319
Ag: 0.500 0.237 0.000
Ag: 0.500 0.763 0.000
Ag: 0.159 0.760 0.681
Ag: 0.159 0.240 0.681

=====

Record 8
A relaxed SmSc5Ag4 crystal, computed with PBE.

Computed properties:
V = 219 Å³ per cell
ΔE_f = -2.0 eV per formula unit
Space-group type = P4/mmm
Spin magnetization = 0.00 μB per cell
Crystal system = tetragonal

Unit cell a=3.417 b=3.417 c=18.780 alpha=90.00 beta=90.00 gamma=90.00
Positions (direct):
Sm: 0.000 0.000 0.000
Sc: 0.500 0.500 0.130
Sc: 0.500 0.500 0.314
Sc: 0.500 0.500 0.500
Sc: 0.500 0.500 0.686
Sc: 0.500 0.500 0.870
Ag: 0.000 0.000 0.222
Ag: 0.000 0.000 0.408
Ag: 0.000 0.000 0.592
Ag: 0.000 0.000 0.778

=====

Record 9
A relaxed Sm4ScAg2 crystal, computed with PBE.

Computed properties:
V = 213 Å³ per cell
ΔE_f = 0.5 eV per formula unit
Space-group type = R-3m
Spin magnetization = 0.00 μB per cell
Crystal system = trigonal

Unit cell a=5.387 b=5.387 c=9.035 alpha=72.66 beta=72.66 gamma=60.00
Positions (direct):
Sm: 0.726 0.726 0.823
Sm: 0.871 0.871 0.386
Sm: 0.274 0.274 0.177
Sm: 0.129 0.129 0.614
Sc: 0.500 0.500 0.500
Ag: 0.607 0.607 0.180
Ag: 0.393 0.393 0.820

=====

Record 10
A relaxed SmScAg2 crystal, computed with PBE.

Computed properties:
V = 91 Å³ per cell
ΔE_f = -1.1 eV per formula unit
Space-group type = P4/mmm
Spin magnetization = 0.00 μB per cell
Crystal system = tetragonal

Unit cell a=3.517 b=3.517 c=7.350 alpha=90.00 beta=90.00 gamma=90.00
Positions (direct):
Sc: 0.500 0.500 0.000
Ag: 0.000 0.000 0.783
Ag: 0.000 0.000 0.217
Sm: 0.500 0.500 0.500

=====

Record 11
A relaxed SmSc4Ag5 crystal, computed with PBE.

Computed properties:
V = 212 Å³ per cell
ΔE_f = -2.7 eV per formula unit
Space-group type = P4/mmm
Spin magnetization = 0.00 μB per cell
Crystal system = tetragonal

Unit cell a=3.459 b=3.459 c=17.735 alpha=90.00 beta=90.00 gamma=90.00
Positions (direct):
Sm: 0.000 0.000 0.000
Sc: 0.000 0.000 0.210
Sc: 0.000 0.000 0.404
Sc: 0.000 0.000 0.596
Sc: 0.000 0.000 0.790
Ag: 0.500 0.500 0.119
Ag: 0.500 0.500 0.306
Ag: 0.500 0.500 0.500
Ag: 0.500 0.500 0.694
Ag: 0.500 0.500 0.881

=====

Record 12
A relaxed Sm5ScAg4 crystal, computed with PBE.

Computed properties:
V = 263 Å³ per cell
ΔE_f = -2.1 eV per formula unit
Space-group type = P4/mmm
Spin magnetization = 0.00 μB per cell
Crystal system = tetragonal

Unit cell a=3.677 b=3.677 c=19.455 alpha=90.00 beta=90.00 gamma=90.00
Positions (direct):
Sm: 0.500 0.500 0.112
Sm: 0.500 0.500 0.306
Sm: 0.500 0.500 0.500
Sm: 0.500 0.500 0.694
Sm: 0.500 0.500 0.888
Sc: 0.000 0.000 0.000
Ag: 0.000 0.000 0.207
Ag: 0.000 0.000 0.404
Ag: 0.000 0.000 0.596
Ag: 0.000 0.000 0.793